(1)
Entry from the Alexandria database: AcNdGa after structural relaxation (GGA-PBE).

The calculation puts the formation energy from the elements at -0.284 eV/atom. The relative energy among the computed polymorphs comes out at 62 meV per atom.

The space group is I4mm (No. 107) and the conventional cell measures 3.864, 3.864 and 12.910 Å, with angles of 90.00, 90.00 and 90.00 degrees. The inequivalent atoms are Ac at (0.000, 0.000, 0.000), Nd at (0.000, 0.000, 0.718) and Ga at (0.000, 0.000, 0.343).

=====

(2)
Entry from the Alexandria database: HgBi5Pd3 after structural relaxation (GGA-PBE).

The calculation puts the formation energy from the elements at -0.090 eV/atom.

The space group is C2/m (No. 12) and the conventional cell measures 11.469, 9.445 and 10.731 Å, with angles of 90.00, 120.87 and 90.00 degrees. The inequivalent atoms are Hg at (0.238, 0.000, 0.275), Bi at (0.000, 0.300, 0.000), Bi at (0.084, 0.267, 0.400), Bi at (0.185, 0.000, 0.631), Bi at (0.248, 0.000, 0.986), Pd at (0.000, 0.000, 0.000), Pd at (0.000, 0.500, 0.500), Pd at (0.006, 0.000, 0.727) and Pd at (0.029, 0.500, 0.217).

=====

(3)
Entry from the Alexandria database: Fe2PRu after structural relaxation (GGA-PBE).

The calculation puts the formation energy from the elements at -0.121 eV/atom.

The space group is F-43m (No. 216) and the conventional cell measures 5.745, 5.745 and 5.745 Å, with angles of 90.00, 90.00 and 90.00 degrees. The inequivalent atoms are Fe at (0.000, 0.000, 0.000), Fe at (0.250, 0.250, 0.250), P at (0.000, 0.000, 0.500) and Ru at (0.250, 0.250, 0.750).

=====

(4)
Entry from the Alexandria database: InHgPbF6 after structural relaxation (GGA-PBE).

The formation energy (no corrections) is -2063.9 meV per atom.

The space group is P-31c (No. 163) and the conventional cell measures 6.1742, 6.1742 and 10.1702 Å, with angles of 90.00, 90.00 and 120.00 degrees. The inequivalent atoms are In at (0.3333, 0.6667, 0.2500), Hg at (0.3333, 0.6667, 0.7500), Pb at (0.0000, 0.0000, 0.0000) and F at (0.0646, 0.3701, 0.1315).